Entry 1:
11
Lattice="2.825 1.631 5.797 -2.825 1.631 5.797 0.000 -3.262 5.797" Properties=species:S:1:pos:R:3 comment="Pm2PaCr2N6, relaxed, DFT PBE-GGA" space_group="R-3m, No. 166" pbc="T T T"
Pm 0.000 0.000 3.654
Pm 0.000 0.000 13.737
Pa 0.000 0.000 0.000
Cr 0.000 0.000 7.027
Cr 0.000 0.000 10.364
N -1.447 -0.836 9.954
N 0.000 -1.671 7.437
N -1.447 0.836 7.437
N 1.447 -0.836 9.954
N 0.000 1.671 9.954
N 1.447 0.836 7.437

---

Entry 2:
20
Lattice="5.628 3.249 2.811 -5.628 3.249 2.811 0.000 -6.498 2.811" Properties=species:S:1:pos:R:3 comment="PmPa3Cr4N12, relaxed, DFT PBE-GGA" space_group="R32, No. 155" pbc="T T T"
Pm 0.000 0.000 0.000
Pa -3.069 -1.182 2.811
Pa 2.558 -2.067 2.811
Pa 0.511 3.249 2.811
Cr -2.553 -4.421 4.216
Cr 0.000 0.000 4.216
Cr -2.553 4.421 4.216
Cr 5.105 0.000 4.216
N -3.486 -2.963 4.179
N -4.413 0.000 4.216
N -0.822 -4.501 4.253
N -1.773 0.000 4.216
N -3.486 2.963 4.253
N 2.206 -3.822 4.216
N 0.886 -1.535 4.216
N -0.822 4.501 4.179
N 0.886 1.535 4.216
N 4.309 -1.538 4.179
N 2.206 3.822 4.216
N 4.309 1.538 4.253

---

Entry 3:
14
Lattice="5.765 0.000 0.000 0.000 5.310 0.000 -2.027 0.000 6.430" Properties=species:S:1:pos:R:3 comment="PmPaCrN4, relaxed, DFT PBE-GGA" space_group="P2_1/m, No. 11" pbc="T T T"
Pm 0.345 1.327 2.744
Pm 3.393 3.982 3.686
Pa -0.351 1.327 6.067
Pa 4.089 3.982 0.362
Cr 1.143 3.982 1.252
Cr 2.595 1.327 5.178
N -0.345 3.982 2.278
N -1.460 3.982 5.996
N 2.326 2.667 1.448
N 2.326 5.297 1.448
N 1.412 0.012 4.982
N 1.412 2.643 4.982
N 5.198 1.327 0.433
N 4.083 1.327 4.152

---

Entry 4:
12
Lattice="7.383 0.000 0.000 0.000 3.433 0.000 -1.540 0.000 7.249" Properties=species:S:1:pos:R:3 comment="PrPaCrN3, relaxed, DFT PBE-GGA" space_group="P2_1/m, No. 11" pbc="T T T"
Pr 1.232 0.858 1.262
Pr 4.611 2.575 5.986
Pa 0.315 0.858 4.779
Pa 5.527 2.575 2.470
Cr 1.690 2.575 6.639
Cr 4.153 0.858 0.610
N 0.318 2.575 3.172
N -0.259 2.575 6.334
N 3.209 2.575 1.317
N 2.634 0.858 5.932
N 6.102 0.858 0.915
N 5.525 0.858 4.077

---

Entry 5:
11
Lattice="2.843 1.641 5.843 -2.843 1.641 5.843 0.000 -3.282 5.843" Properties=species:S:1:pos:R:3 comment="Pr2PaCr2N6, relaxed, DFT PBE-GGA" space_group="R-3m, No. 166" pbc="T T T"
Pr 0.000 0.000 3.710
Pr 0.000 0.000 13.818
Pa 0.000 0.000 0.000
Cr 0.000 0.000 7.075
Cr 0.000 0.000 10.452
N -1.452 -0.838 10.057
N 0.000 -1.676 7.471
N -1.452 0.838 7.471
N 1.452 -0.838 10.057
N 0.000 1.676 10.057
N 1.452 0.838 7.471

---

Entry 6:
18
Lattice="-3.268 3.268 5.522 3.268 -3.268 5.522 3.268 3.268 -5.522" Properties=species:S:1:pos:R:3 comment="PuPa2CrN5, relaxed, DFT PBE-GGA" space_group="I4/mcm, No. 140" pbc="T T T"
Pu 0.000 0.000 2.761
Pu 0.000 0.000 8.283
Pa 4.399 1.131 0.000
Pa 1.131 2.137 0.000
Pa 2.137 1.131 5.522
Pa -1.131 2.137 5.522
Cr 3.268 0.000 2.761
Cr 0.000 3.268 2.761
N 0.000 0.000 0.000
N 2.291 0.977 -1.550
N 2.291 -0.977 3.972
N 2.291 0.977 1.550
N 2.291 -0.977 7.072
N 0.000 0.000 5.522
N 0.977 4.245 -1.550
N 0.977 2.291 3.972
N 0.977 4.245 1.550
N 0.977 2.291 7.072

---

Entry 7:
16
Lattice="1.684 -5.803 0.000 1.684 5.803 0.000 0.000 0.000 11.545" Properties=species:S:1:pos:R:3 comment="PuPa2CrN4, relaxed, DFT PBE-GGA" space_group="Cmcm, No. 63" pbc="T T T"
Pu 1.684 4.602 8.659
Pu 1.684 -4.602 2.886
Pa 1.684 1.540 6.412
Pa 1.684 1.540 10.906
Pa 1.684 -1.540 0.639
Pa 1.684 -1.540 5.133
Cr 1.684 3.969 2.886
Cr 1.684 -3.969 8.659
N 0.000 0.000 0.000
N 0.000 0.000 5.773
N 1.684 2.644 1.425
N 1.684 2.644 4.348
N 1.684 0.624 8.659
N 1.684 -0.624 2.886
N 1.684 -2.644 7.198
N 1.684 -2.644 10.120

---

Entry 8:
7
Lattice="-1.863 1.863 6.023 1.863 -1.863 6.023 1.863 1.863 -6.023" Properties=species:S:1:pos:R:3 comment="PuPaCrN4, relaxed, DFT PBE-GGA" space_group="I4mm, No. 107" pbc="T T T"
Pu 0.000 0.000 0.000
Pa 0.000 0.000 8.649
Cr 0.000 0.000 4.267
N 0.000 0.000 2.221
N 1.863 0.000 4.276
N 0.000 0.000 6.487
N 0.000 1.863 4.276

---

Results for V: 160.2; 308.4; 98.4; 91.9; 163.5; 118.0; 112.8; 83.7 (in Å³/f.u., following the order of the records).
Results for DOS(E_F): 4.1; 7.3; 5.4; 2.3; 4.0; 10.5; 11.3; 7.9 (in states/eV/f.u., following the order of the records).
Results for ΔE_f (raw): -10.0; -13.8; -7.5; -6.7; -10.0; -11.2; -9.6; -7.9 (in eV/f.u., following the order of the records).